First-principles (PBE-GGA) data for a relaxed structure of TiRe, as listed in the Alexandria database.

a = 4.3150 Å, b = 4.3150 Å, c = 5.1430 Å
α = 90.00°, β = 90.00°, γ = 120.00°
Space group P6_3/mmc (No. 194)
Inequivalent atoms, fractional coordinates:
Ti 0.3333 0.6667 0.2500 (multiplicity 2)
Re 0.3333 0.6667 0.7500 (multiplicity 2)

Computed properties:
energy of formation	1223	meV/atom